PBE with a Hubbard U MnMoN2F, relaxed; excess energy over the best structure of this formula in the dataset = 331.2 meV/atom; calculated density = 5.6 Mg/m³; uncorrected energy = -31.69 eV per cell; magnetization = 1.200 μB per atom; N(E_F) = 1.4 states/eV/cell; crystal system = tetragonal
1.0
3.9375 0.0000 0.0000
0.0000 3.9375 0.0000
0.0000 0.0000 3.7791
Mn Mo N F
1 1 2 1
direct
0.0000 0.0000 0.0000 Mn
0.5000 0.5000 0.5000 Mo
0.0000 0.5000 0.0000 N
0.5000 0.0000 0.0000 N
0.0000 0.0000 0.5000 F